#a
! Sm6TmIn, relaxed, DFT PBE; values from VASP
! DOS(E_F) (states/eV per atom): 1.13
&SYSTEM
  ibrav = 0, nat = 8, ntyp = 3
/
ATOMIC_SPECIES
Sm 150.36 Sm.upf
Tm 168.93 Tm.upf
In 114.82 In.upf
ATOMIC_POSITIONS angstrom
Sm 0.000 0.000 0.000
Sm 0.000 0.000 5.088
Sm 0.000 2.485 2.487
Sm 0.000 2.485 7.689
Sm 2.485 0.000 2.487
Sm 2.485 0.000 7.689
Tm 2.485 2.485 5.088
In 2.485 2.485 0.000
CELL_PARAMETERS angstrom
4.970 0.000 0.000
0.000 4.970 0.000
0.000 0.000 10.176

#b
! Sm6TmIn, relaxed, DFT PBE; values from VASP
! DOS(E_F) (states/eV per atom): 1.23
&SYSTEM
  ibrav = 0, nat = 8, ntyp = 3
/
ATOMIC_SPECIES
Sm 150.36 Sm.upf
Tm 168.93 Tm.upf
In 114.82 In.upf
ATOMIC_POSITIONS angstrom
Sm 1.871 2.479 4.972
Sm 0.470 0.000 1.632
Sm 1.871 -2.479 4.972
Sm 4.799 2.479 1.632
Sm 6.201 0.000 4.972
Sm 4.799 -2.479 1.632
Tm 3.335 0.000 3.302
In 3.343 0.000 0.000
CELL_PARAMETERS angstrom
3.343 -5.766 0.000
3.343 5.766 0.000
-0.016 0.000 6.604

#a takes first place; second place is 129 meV per atom up.

#a
! Sm6TmIn2, relaxed, DFT PBE; values from VASP
! DOS(E_F) (states/eV per atom): 1.21
&SYSTEM
  ibrav = 0, nat = 9, ntyp = 3
/
ATOMIC_SPECIES
Sm 150.36 Sm.upf
Tm 168.93 Tm.upf
In 114.82 In.upf
ATOMIC_POSITIONS angstrom
Sm -1.024 0.000 3.888
Sm 2.468 0.000 4.676
Sm 3.679 0.000 1.398
Sm 5.575 0.000 10.019
Sm 6.786 0.000 6.741
Sm 10.277 0.000 7.529
Tm 0.000 0.000 0.000
In 1.687 0.000 9.179
In 7.567 0.000 2.238
CELL_PARAMETERS angstrom
6.475 -1.900 0.000
6.475 1.900 0.000
-3.696 0.000 11.418

#b
! Sm6TmIn2, relaxed, DFT PBE; values from VASP
! DOS(E_F) (states/eV per atom): 1.33
&SYSTEM
  ibrav = 0, nat = 9, ntyp = 3
/
ATOMIC_SPECIES
Sm 150.36 Sm.upf
Tm 168.93 Tm.upf
In 114.82 In.upf
ATOMIC_POSITIONS angstrom
Sm 1.721 -1.743 5.625
Sm 0.000 1.544 0.000
Sm 0.000 2.942 2.890
Sm 1.721 1.743 5.625
Sm 0.000 7.827 0.000
Sm 0.000 6.428 2.890
Tm 0.000 0.000 8.515
In 1.721 0.000 2.609
In 0.000 4.685 5.906
CELL_PARAMETERS angstrom
-1.721 4.685 8.515
1.721 -4.685 8.515
1.721 4.685 -8.515

#a takes first place; second place is 132 meV per atom up.

#a
! Sm2TmIn, relaxed, DFT PBE; values from VASP
! DOS(E_F) (states/eV per atom): 1.36
&SYSTEM
  ibrav = 0, nat = 4, ntyp = 3
/
ATOMIC_SPECIES
Sm 150.36 Sm.upf
Tm 168.93 Tm.upf
In 114.82 In.upf
ATOMIC_POSITIONS angstrom
Sm 0.000 0.000 2.169
Sm 0.000 0.000 7.264
Tm 1.796 1.796 4.716
In 1.796 1.796 0.000
CELL_PARAMETERS angstrom
3.591 0.000 0.000
0.000 3.591 0.000
0.000 0.000 9.433

#b
! Sm2TmIn, relaxed, DFT PBE; values from VASP
! DOS(E_F) (states/eV per atom): 1.72
&SYSTEM
  ibrav = 0, nat = 4, ntyp = 3
/
ATOMIC_SPECIES
Sm 150.36 Sm.upf
Tm 168.93 Tm.upf
In 114.82 In.upf
ATOMIC_POSITIONS angstrom
Sm 1.944 1.944 1.944
Sm 5.832 5.832 5.832
Tm 0.000 0.000 0.000
In 3.888 3.888 3.888
CELL_PARAMETERS angstrom
0.000 3.888 3.888
3.888 0.000 3.888
3.888 3.888 0.000

#c
! Sm2TmIn, relaxed, DFT PBE; values from VASP
! DOS(E_F) (states/eV per atom): 1.21
&SYSTEM
  ibrav = 0, nat = 4, ntyp = 3
/
ATOMIC_SPECIES
Sm 150.36 Sm.upf
Tm 168.93 Tm.upf
In 114.82 In.upf
ATOMIC_POSITIONS angstrom
Sm 0.000 0.000 0.000
Sm 0.000 0.000 5.520
Tm 0.000 0.000 19.742
In 0.000 0.000 14.082
CELL_PARAMETERS angstrom
1.770 1.022 11.310
-1.770 1.022 11.310
0.000 -2.043 11.310

#d
! Sm2TmIn, relaxed, DFT PBE; values from VASP
! DOS(E_F) (states/eV per atom): 1.49
&SYSTEM
  ibrav = 0, nat = 4, ntyp = 3
/
ATOMIC_SPECIES
Sm 150.36 Sm.upf
Tm 168.93 Tm.upf
In 114.82 In.upf
ATOMIC_POSITIONS angstrom
Sm 0.000 2.432 0.000
Sm 2.432 0.000 0.000
Tm 0.000 0.000 2.464
In 2.432 2.432 2.464
CELL_PARAMETERS angstrom
4.864 0.000 0.000
0.000 4.864 0.000
0.000 0.000 4.927

#d takes first place; second place is 60 meV per atom up.

#a
! Sm4Tm3In, relaxed, DFT PBE; values from VASP
! DOS(E_F) (states/eV per atom): 1.41
&SYSTEM
  ibrav = 0, nat = 16, ntyp = 3
/
ATOMIC_SPECIES
Sm 150.36 Sm.upf
Tm 168.93 Tm.upf
In 114.82 In.upf
ATOMIC_POSITIONS angstrom
Sm 0.000 0.001 0.000
Sm 0.000 3.482 3.518
Sm 2.508 1.763 5.274
Sm 2.501 5.209 1.760
Sm 5.009 6.971 3.514
Sm 5.009 3.490 0.004
Sm 7.510 1.763 5.274
Sm 7.518 5.209 1.760
Tm 0.000 3.484 0.002
Tm 2.505 1.702 1.759
Tm 2.505 5.270 5.274
Tm 5.009 3.487 3.516
Tm 7.514 1.702 1.759
Tm 7.514 5.270 5.274
In 0.000 6.971 3.515
In 5.009 0.001 0.001
CELL_PARAMETERS angstrom
10.019 0.000 0.000
0.000 6.971 0.000
0.000 0.000 7.028

#b
! Sm4Tm3In, relaxed, DFT PBE; values from VASP
! DOS(E_F) (states/eV per atom): 1.32
&SYSTEM
  ibrav = 0, nat = 16, ntyp = 3
/
ATOMIC_SPECIES
Sm 150.36 Sm.upf
Tm 168.93 Tm.upf
In 114.82 In.upf
ATOMIC_POSITIONS angstrom
Sm 0.000 0.919 0.000
Sm 0.000 6.134 2.792
Sm 2.604 6.145 5.063
Sm 3.005 0.937 1.972
Sm 5.609 0.948 5.883
Sm 5.609 6.163 3.092
Sm 8.214 0.937 1.972
Sm 8.614 6.145 5.063
Tm 0.000 2.634 2.959
Tm 2.764 2.721 4.939
Tm 2.846 4.361 1.848
Tm 5.609 4.448 6.050
Tm 8.373 4.361 1.848
Tm 8.455 2.721 4.939
In 0.000 4.300 6.054
In 5.609 2.782 2.962
CELL_PARAMETERS angstrom
11.219 0.000 0.000
0.000 7.082 0.000
0.000 0.000 6.183

#b takes first place; second place is 15 meV per atom up.

#a
! SmTm4In, relaxed, DFT PBE; values from VASP
! DOS(E_F) (states/eV per atom): 1.02
&SYSTEM
  ibrav = 0, nat = 6, ntyp = 3
/
ATOMIC_SPECIES
Sm 150.36 Sm.upf
Tm 168.93 Tm.upf
In 114.82 In.upf
ATOMIC_POSITIONS angstrom
Sm 0.000 0.000 0.000
Tm 0.000 0.000 4.964
Tm 0.000 0.000 9.120
Tm 1.771 1.771 2.522
Tm 1.771 1.771 11.562
In 1.771 1.771 7.042
CELL_PARAMETERS angstrom
3.541 0.000 0.000
0.000 3.541 0.000
0.000 0.000 14.084

#b
! SmTm4In, relaxed, DFT PBE; values from VASP
! DOS(E_F) (states/eV per atom): 1.39
&SYSTEM
  ibrav = 0, nat = 12, ntyp = 3
/
ATOMIC_SPECIES
Sm 150.36 Sm.upf
Tm 168.93 Tm.upf
In 114.82 In.upf
ATOMIC_POSITIONS angstrom
Sm 0.000 0.000 0.000
Sm 0.000 5.621 1.689
Tm 0.000 2.717 1.094
Tm 2.728 5.621 -0.598
Tm 2.893 0.000 2.780
Tm 5.621 2.893 1.091
Tm 0.000 2.728 4.469
Tm -2.717 5.621 2.783
Tm 2.717 5.621 2.783
Tm 0.000 8.525 1.094
In 5.621 0.000 1.632
In 0.000 0.000 3.321
CELL_PARAMETERS angstrom
-5.621 5.621 3.378
5.621 -5.621 3.378
5.621 5.621 -3.378

#a takes first place; second place is 655 meV per atom up.

#a
! Sm5TmIn2, relaxed, DFT PBE; values from VASP
! DOS(E_F) (states/eV per atom): 1.47
&SYSTEM
  ibrav = 0, nat = 8, ntyp = 3
/
ATOMIC_SPECIES
Sm 150.36 Sm.upf
Tm 168.93 Tm.upf
In 114.82 In.upf
ATOMIC_POSITIONS angstrom
Sm 0.000 0.000 0.000
Sm 1.801 2.426 -1.715
Sm 1.801 2.426 1.715
Sm 0.000 3.032 4.540
Sm 0.000 3.032 7.971
Tm 0.000 5.458 0.000
In 0.000 0.000 3.418
In 0.000 0.000 9.093
CELL_PARAMETERS angstrom
-1.801 5.458 6.255
1.801 -5.458 6.255
1.801 5.458 -6.255

#b
! Sm5TmIn2, relaxed, DFT PBE; values from VASP
! DOS(E_F) (states/eV per atom): 1.45
&SYSTEM
  ibrav = 0, nat = 16, ntyp = 3
/
ATOMIC_SPECIES
Sm 150.36 Sm.upf
Tm 168.93 Tm.upf
In 114.82 In.upf
ATOMIC_POSITIONS angstrom
Sm 0.000 0.000 0.000
Sm 0.002 3.511 0.000
Sm 6.950 10.387 0.000
Sm 1.736 1.721 2.450
Sm 1.741 8.670 2.450
Sm 3.479 3.438 0.000
Sm 3.476 6.949 0.000
Sm 3.474 10.459 0.000
Sm 5.212 5.228 2.450
Sm 5.217 12.177 2.450
Tm 0.000 6.949 0.000
Tm 3.476 0.000 0.000
In 1.717 5.235 2.450
In 1.760 12.184 2.450
In 5.193 1.714 2.450
In 5.236 8.663 2.450
CELL_PARAMETERS angstrom
6.952 0.000 0.000
0.000 13.898 0.000
0.000 0.000 4.900

#b takes first place; second place is 122 meV per atom up.

#a
! Sm8Tm2In, relaxed, DFT PBE; values from VASP
! DOS(E_F) (states/eV per atom): 1.58
&SYSTEM
  ibrav = 0, nat = 11, ntyp = 3
/
ATOMIC_SPECIES
Sm 150.36 Sm.upf
Tm 168.93 Tm.upf
In 114.82 In.upf
ATOMIC_POSITIONS angstrom
Sm -0.355 0.000 2.433
Sm 0.625 2.688 6.079
Sm 2.447 0.000 0.224
Sm 2.138 2.688 2.715
Sm 4.255 2.688 5.406
Sm 3.946 0.000 7.898
Sm 5.768 2.688 2.042
Sm 6.748 0.000 5.688
Tm 1.949 0.000 5.043
Tm 4.445 0.000 3.078
In 0.000 2.688 0.000
CELL_PARAMETERS angstrom
8.353 0.000 0.000
0.000 5.375 0.000
-1.959 0.000 8.121

#b
! Sm8Tm2In, relaxed, DFT PBE; values from VASP
! DOS(E_F) (states/eV per atom): 1.35
&SYSTEM
  ibrav = 0, nat = 11, ntyp = 3
/
ATOMIC_SPECIES
Sm 150.36 Sm.upf
Tm 168.93 Tm.upf
In 114.82 In.upf
ATOMIC_POSITIONS angstrom
Sm 0.326 0.000 1.748
Sm 0.996 0.000 5.239
Sm 4.523 0.000 4.558
Sm 7.304 0.000 0.438
Sm 8.666 0.000 7.273
Sm 11.447 0.000 3.153
Sm 14.974 0.000 2.472
Sm 15.644 0.000 5.963
Tm 3.784 0.000 1.029
Tm 12.186 0.000 6.682
In 7.985 0.000 3.855
CELL_PARAMETERS angstrom
9.071 -2.503 0.000
9.071 2.503 0.000
-2.173 0.000 7.711

#b takes first place; second place is 127 meV per atom up.

#a
! Sm4Tm2In, relaxed, DFT PBE; values from VASP
! DOS(E_F) (states/eV per atom): 1.73
&SYSTEM
  ibrav = 0, nat = 7, ntyp = 3
/
ATOMIC_SPECIES
Sm 150.36 Sm.upf
Tm 168.93 Tm.upf
In 114.82 In.upf
ATOMIC_POSITIONS angstrom
Sm 0.000 0.000 1.631
Sm 0.000 0.000 5.133
Sm 0.000 0.000 19.041
Sm 0.000 0.000 22.544
Tm 0.000 0.000 8.680
Tm 0.000 0.000 15.494
In 0.000 0.000 12.087
CELL_PARAMETERS angstrom
2.783 1.607 8.058
-2.783 1.607 8.058
0.000 -3.214 8.058

#b
! Sm4Tm2In, relaxed, DFT PBE; values from VASP
! DOS(E_F) (states/eV per atom): 1.03
&SYSTEM
  ibrav = 0, nat = 14, ntyp = 3
/
ATOMIC_SPECIES
Sm 150.36 Sm.upf
Tm 168.93 Tm.upf
In 114.82 In.upf
ATOMIC_POSITIONS angstrom
Sm 3.094 0.882 1.569
Sm 6.020 4.984 3.138
Sm 4.912 8.319 3.082
Sm 2.757 10.850 1.569
Sm 9.716 14.186 4.652
Sm 6.791 15.145 3.082
Sm 5.683 18.480 3.138
Sm 7.837 21.011 4.652
Tm 3.493 4.301 1.128
Tm 2.358 7.431 1.128
Tm 11.135 21.899 5.836
Tm 6.419 13.297 5.836
In 5.851 11.732 2.788
In 8.777 17.598 4.358
CELL_PARAMETERS angstrom
0.000 11.732 3.138
5.851 0.000 3.138
5.851 11.732 0.000

#b takes first place; second place is 64 meV per atom up.

#a
! Sm3TmIn2, relaxed, DFT PBE; values from VASP
! DOS(E_F) (states/eV per atom): 0.98
&SYSTEM
  ibrav = 0, nat = 12, ntyp = 3
/
ATOMIC_SPECIES
Sm 150.36 Sm.upf
Tm 168.93 Tm.upf
In 114.82 In.upf
ATOMIC_POSITIONS angstrom
Sm -1.128 0.000 3.209
Sm 1.603 0.000 5.586
Sm 4.286 0.000 2.921
Sm 6.905 0.000 6.002
Sm 9.587 0.000 3.337
Sm 12.318 0.000 5.714
Tm 1.535 0.000 0.675
Tm 9.656 0.000 8.248
In -0.490 0.000 8.129
In 7.155 0.000 1.176
In 4.036 0.000 7.747
In 11.681 0.000 0.794
CELL_PARAMETERS angstrom
8.059 -2.503 0.000
8.059 2.503 0.000
-4.927 0.000 8.923

#b
! Sm3TmIn2, relaxed, DFT PBE; values from VASP
! DOS(E_F) (states/eV per atom): 0.99
&SYSTEM
  ibrav = 0, nat = 12, ntyp = 3
/
ATOMIC_SPECIES
Sm 150.36 Sm.upf
Tm 168.93 Tm.upf
In 114.82 In.upf
ATOMIC_POSITIONS angstrom
Sm 0.000 0.336 0.000
Sm 0.000 3.248 2.296
Sm 0.000 6.704 5.680
Sm 0.000 9.617 3.384
Sm 2.630 1.816 4.917
Sm 2.630 8.137 1.533
Tm 2.630 4.612 0.426
Tm 2.630 5.341 3.810
In 0.000 3.541 5.575
In 0.000 6.412 2.192
In 2.630 1.456 1.651
In 2.630 8.497 5.034
CELL_PARAMETERS angstrom
5.260 0.000 0.000
0.000 9.953 0.000
0.000 0.000 6.768

#b takes first place; second place is 99 meV per atom up.

#a
! Sm3TmIn, relaxed, DFT PBE; values from VASP
! DOS(E_F) (states/eV per atom): 1.08
&SYSTEM
  ibrav = 0, nat = 10, ntyp = 3
/
ATOMIC_SPECIES
Sm 150.36 Sm.upf
Tm 168.93 Tm.upf
In 114.82 In.upf
ATOMIC_POSITIONS angstrom
Sm 2.440 11.286 3.662
Sm 2.440 6.335 3.662
Sm 2.440 1.346 3.662
Sm 2.440 -1.346 1.221
Sm 2.440 -6.335 1.221
Sm 2.440 -11.286 1.221
Tm 2.440 8.817 1.221
Tm 2.440 -8.817 3.662
In 2.440 3.869 1.221
In 2.440 -3.869 3.662
CELL_PARAMETERS angstrom
2.440 -12.635 0.000
2.440 12.635 0.000
0.000 0.000 4.882

#b
! Sm3TmIn, relaxed, DFT PBE; values from VASP
! DOS(E_F) (states/eV per atom): 1.37
&SYSTEM
  ibrav = 0, nat = 10, ntyp = 3
/
ATOMIC_SPECIES
Sm 150.36 Sm.upf
Tm 168.93 Tm.upf
In 114.82 In.upf
ATOMIC_POSITIONS angstrom
Sm 8.529 -0.545 1.709
Sm 0.329 2.055 0.000
Sm 5.356 2.055 0.000
Sm 2.843 0.545 1.709
Sm 0.329 2.100 3.472
Sm 5.356 2.100 3.472
Tm 8.529 2.062 -0.085
Tm -2.843 2.093 3.387
In 2.843 3.652 1.682
In 2.843 0.503 5.154
CELL_PARAMETERS angstrom
-5.686 4.155 3.472
5.686 -4.155 3.472
5.686 4.155 -3.472

#a takes first place; second place is 356 meV per atom up.